(1)
Compound: TbYIrPt
Source: the Alexandria database
Functional: PBE
Structure: relaxed

Cell lengths 4.909, 4.909, 4.909 Å; angles 60.00, 60.00, 60.00 degrees
Fractional coordinates of all 4 atoms:
1 Y 0.500 0.500 0.500
2 Ir 0.250 0.250 0.250
3 Tb 0.000 0.000 0.000
4 Pt 0.750 0.750 0.750

Calculated values
Total moment: 0.0 μB/f.u.
DFT total energy: -7.50 eV/atom
V: 20.9 Å³/atom
Space group: F-43m (216)

(2)
Compound: TcIrPt2
Source: the Alexandria database
Functional: PBE
Structure: relaxed

Cell lengths 2.760, 3.960, 5.491 Å; angles 90.00, 90.00, 90.00 degrees
Fractional coordinates of all 4 atoms:
1 Ir 0.500 0.500 0.750
2 Pt 0.000 0.000 0.005
3 Pt 0.000 0.000 0.495
4 Tc 0.500 0.500 0.250

Calculated values
Total moment: 0.0 μB/f.u.
DFT total energy: -7.86 eV/atom
V: 15.0 Å³/atom
Space group: Pmmm (47)

(3)
Compound: TcIrPt2
Source: the Alexandria database
Functional: PBE
Structure: relaxed

Cell lengths 2.747, 2.747, 7.973 Å; angles 90.00, 90.00, 90.00 degrees
Fractional coordinates of all 4 atoms:
1 Ir 0.500 0.500 0.735
2 Tc 0.000 0.000 0.509
3 Pt 0.000 0.000 0.995
4 Pt 0.500 0.500 0.261

Calculated values
Total moment: 0.0 μB/f.u.
DFT total energy: -8.00 eV/atom
V: 15.0 Å³/atom
Space group: P4mm (99)

> The lowest DFT total energy belongs to which entry?

number 3